PBE V2CdAsPb, optimized geometry; density of states at the Fermi level = 1.0233 states/eV per atom; energy relative to the elements = 1375 meV per atom; electronic total energy = -4.1271 eV/atom
1.0
5.192 0.000 0.000
0.000 5.192 0.000
0.000 0.000 5.285
V Cd As Pb
2 1 1 1
Direct
0.000 0.500 0.000
0.500 0.000 0.000
0.000 0.000 0.500
0.500 0.500 0.500
0.000 0.000 0.000

=====

PBE YCd2AsPb, optimized geometry; density of states at the Fermi level = 0.5452 states/eV per atom; energy relative to the elements = 513 meV per atom; electronic total energy = -2.8176 eV/atom
1.0
5.420 0.000 0.000
0.000 5.420 0.000
0.000 0.000 5.588
Y Cd As Pb
1 2 1 1
Direct
0.000 0.000 0.000
0.000 0.500 0.500
0.500 0.000 0.500
0.500 0.500 0.000
0.500 0.500 0.500

=====

PBE CdAsPd4, optimized geometry; density of states at the Fermi level = 0.5807 states/eV per atom; energy relative to the elements = -324 meV per atom; electronic total energy = -4.7136 eV/atom
1.0
7.281 0.000 0.000
0.000 3.096 0.000
0.000 0.000 17.466
Cd As Pd
4 4 16
Direct
0.198 0.250 0.187
0.302 0.750 0.687
0.698 0.250 0.313
0.802 0.750 0.813
0.245 0.750 0.451
0.255 0.250 0.951
0.745 0.750 0.049
0.755 0.250 0.549
0.008 0.750 0.292
0.041 0.750 0.568
0.101 0.750 0.056
0.177 0.750 0.843
0.323 0.250 0.343
0.399 0.250 0.556
0.459 0.250 0.068
0.492 0.250 0.792
0.508 0.750 0.208
0.541 0.750 0.932
0.601 0.750 0.444
0.677 0.750 0.657
0.823 0.250 0.157
0.899 0.250 0.944
0.959 0.250 0.432
0.992 0.250 0.708

=====

PBE CdAs2Pd4, optimized geometry; density of states at the Fermi level = 0.4338 states/eV per atom; energy relative to the elements = -340 meV per atom; electronic total energy = -4.7661 eV/atom
1.0
17.326 0.000 0.000
0.000 4.148 0.000
0.000 0.000 6.628
Cd As Pd
4 8 16
Direct
0.145 0.250 0.120
0.355 0.750 0.620
0.645 0.250 0.380
0.855 0.750 0.880
0.045 0.750 0.753
0.207 0.250 0.625
0.293 0.750 0.125
0.455 0.250 0.253
0.545 0.750 0.747
0.707 0.250 0.875
0.793 0.750 0.375
0.955 0.250 0.247
0.036 0.750 0.133
0.065 0.250 0.510
0.187 0.750 0.397
0.190 0.750 0.852
0.310 0.250 0.352
0.313 0.250 0.897
0.435 0.750 0.010
0.464 0.250 0.633
0.536 0.750 0.367
0.565 0.250 0.990
0.687 0.750 0.103
0.690 0.750 0.648
0.810 0.250 0.148
0.813 0.250 0.603
0.935 0.750 0.490
0.964 0.250 0.867

=====

PBE CdAs6Pd12, optimized geometry; density of states at the Fermi level = 0.4716 states/eV per atom; energy relative to the elements = -262 meV per atom; electronic total energy = -5.0582 eV/atom
1.0
5.964 3.444 2.712
-5.964 3.444 2.712
0.000 -6.887 2.712
Cd As Pd
1 6 12
Direct
0.000 0.000 0.000
0.262 0.262 0.686
0.262 0.686 0.262
0.314 0.738 0.738
0.686 0.262 0.262
0.738 0.314 0.738
0.738 0.738 0.314
0.124 0.500 0.876
0.124 0.876 0.500
0.159 0.399 0.399
0.399 0.159 0.399
0.399 0.399 0.159
0.500 0.124 0.876
0.500 0.876 0.124
0.601 0.601 0.841
0.601 0.841 0.601
0.841 0.601 0.601
0.876 0.124 0.500
0.876 0.500 0.124

=====

PBE CdAs2Pd2, optimized geometry; density of states at the Fermi level = 0.2730 states/eV per atom; energy relative to the elements = -106 meV per atom; electronic total energy = -4.2261 eV/atom
1.0
7.852 0.000 0.000
0.000 7.852 0.000
0.000 0.000 2.944
Cd As Pd
2 4 4
Direct
0.000 0.000 0.000
0.500 0.500 0.000
0.133 0.367 0.000
0.367 0.867 0.000
0.633 0.133 0.000
0.867 0.633 0.000
0.165 0.665 0.500
0.335 0.165 0.500
0.665 0.835 0.500
0.835 0.335 0.500

=====

PBE CdAsPd6, optimized geometry; density of states at the Fermi level = 0.6358 states/eV per atom; energy relative to the elements = -110 meV per atom; electronic total energy = -4.7005 eV/atom
1.0
4.513 2.606 1.889
-4.513 2.606 1.889
0.000 -5.211 1.889
Cd As Pd
1 1 6
Direct
0.000 0.000 0.000
0.500 0.500 0.500
0.246 0.246 0.718
0.246 0.718 0.246
0.282 0.754 0.754
0.718 0.246 0.246
0.754 0.282 0.754
0.754 0.754 0.282

=====

PBE CdAs2Pd, optimized geometry; density of states at the Fermi level = 0.4577 states/eV per atom; energy relative to the elements = -33 meV per atom; electronic total energy = -3.8847 eV/atom
1.0
1.509 0.871 10.240
-1.509 0.871 10.240
0.000 -1.743 10.240
Cd As Pd
1 2 1
Direct
0.000 0.000 0.000
0.102 0.102 0.102
0.898 0.898 0.898
0.500 0.500 0.500

=====

PBE Cd3AsPd12, optimized geometry; density of states at the Fermi level = 1.1167 states/eV per atom; energy relative to the elements = -239 meV per atom; electronic total energy = -4.5956 eV/atom
1.0
4.023 0.000 0.000
0.000 4.023 0.000
0.000 0.000 15.952
Cd As Pd
3 1 12
Direct
0.000 0.000 0.000
0.000 0.000 0.253
0.000 0.000 0.747
0.000 0.000 0.500
0.000 0.500 0.127
0.000 0.500 0.382
0.000 0.500 0.618
0.000 0.500 0.873
0.500 0.000 0.127
0.500 0.000 0.382
0.500 0.000 0.618
0.500 0.000 0.873
0.500 0.500 0.000
0.500 0.500 0.255
0.500 0.500 0.500
0.500 0.500 0.745

=====

PBE Cd3AsPd4, optimized geometry; density of states at the Fermi level = 0.4990 states/eV per atom; energy relative to the elements = -249 meV per atom; electronic total energy = -3.7696 eV/atom
1.0
-2.861 4.671 2.765
2.861 -4.671 2.765
2.861 4.671 -2.765
Cd As Pd
3 1 4
Direct
0.000 0.000 0.000
0.035 0.752 0.283
0.469 0.752 0.717
0.848 0.348 0.500
0.015 0.260 0.756
0.501 0.266 0.765
0.501 0.737 0.235
0.504 0.260 0.244

=====

PBE CdAs2Pd2, optimized geometry; density of states at the Fermi level = 0.4997 states/eV per atom; energy relative to the elements = -159 meV per atom; electronic total energy = -4.2786 eV/atom
1.0
7.467 0.000 0.000
0.000 7.467 0.000
0.000 0.000 3.254
Cd As Pd
2 4 4
Direct
0.000 0.000 0.000
0.500 0.500 0.000
0.156 0.344 0.500
0.344 0.844 0.500
0.656 0.156 0.500
0.844 0.656 0.500
0.136 0.636 0.000
0.364 0.136 0.000
0.636 0.864 0.000
0.864 0.364 0.000

=====

PBE CdAs2Pd2, optimized geometry; density of states at the Fermi level = 0.5417 states/eV per atom; energy relative to the elements = -149 meV per atom; electronic total energy = -4.2688 eV/atom
1.0
-2.255 2.255 4.769
2.255 -2.255 4.769
2.255 2.255 -4.769
Cd As Pd
1 2 2
Direct
0.000 0.000 0.000
0.370 0.370 0.000
0.630 0.630 0.000
0.250 0.750 0.500
0.750 0.250 0.500